DFT (GGA-PBE) results for Ca2MnV after structural relaxation.

excess energy over the best structure of this formula in the dataset = 250.2 meV per atom
magnetization = 7.6 μB per formula unit
V = 419 Å³ per cell
calculated formation energy = 992 meV per atom
E = -18.323 eV/f.u.

```
data_Ca2MnV
_cell_length_a 8.1805
_cell_length_b 8.1805
_cell_length_c 6.2668
_cell_angle_alpha 90.00
_cell_angle_beta 90.00
_cell_angle_gamma 90.00
_symmetry_space_group_name_H-M 'I -4 2 d'
_symmetry_Int_Tables_number 122
_symmetry_space_group_name_Hall 'I -4 2bw'
loop_
_atom_site_label
_atom_site_fract_x
_atom_site_fract_y
_atom_site_fract_z
Ca1 0.2428 0.2500 0.1250
Mn1 0.0000 0.0000 0.0000
V1 0.0000 0.0000 0.5000
```